1.
Here is a geometry-optimized SrMnRh structure from the Alexandria database. Energies are from PBE.

Unit cell a=11.6882 b=4.0495 c=7.7906 alpha=90.00 beta=129.33 gamma=90.00
Closest atoms and distances in Å follow each position.
Space group Cm (No. 8)
One atom of each set of equivalent atoms:
Sr 0.0000 0.0000 0.0000  3 Rh 3.12-3.18, 3 Mn 3.27
Sr 0.1275 0.0000 0.5782  3 Mn 3.20-3.36, 5 Rh 3.23-3.40
Mn 0.2163 0.5000 0.9910  3 Rh 2.48-2.53, 1 Mn 2.77
Mn 0.2972 0.5000 0.4110  4 Rh 2.55-2.73, 1 Mn 2.77
Rh 0.3410 0.0000 0.2229  4 Mn 2.48-2.73, 1 Rh 2.72
Rh 0.4463 0.0000 0.6503  3 Mn 2.53-2.55, 1 Rh 2.72

- D(E_F) (states/eV per cell) = 9.4
- crystal system = monoclinic
- energy above the lowest structure with this stoichiometry (eV per atom) = 0.146
- energy of formation from the pure elements (meV per atom) = 42
- electronic total energy (eV for the cell shown) = -72.3

2.
Here is a geometry-optimized SrMn2Rh structure from the Alexandria database. Energies are from PBE.

Unit cell a=2.8020 b=4.1362 c=6.3116 alpha=90.00 beta=90.00 gamma=90.00
Closest atoms and distances in Å follow each position.
Space group Pmmm (No. 47)
One atom of each set of equivalent atoms:
Sr 0.0000 0.0000 0.0000  2 Sr 2.80
Mn 0.5000 0.5000 0.3509  1 Mn 1.88
Rh 0.0000 0.0000 0.5000  8 Mn 2.67, 2 Rh 2.80

- D(E_F) (states/eV per cell) = 5.7
- crystal system = orthorhombic
- energy of formation from the pure elements (meV per atom) = 610
- electronic total energy (eV for the cell shown) = -24.9

3.
Here is a geometry-optimized SrMn2Rh structure from the Alexandria database. Energies are from PBE.

Unit cell a=4.3661 b=4.3661 c=16.4939 alpha=90.00 beta=90.00 gamma=120.00
Closest atoms and distances in Å follow each position.
Space group R-3m (No. 166, hexagonal axes)
One atom of each set of equivalent atoms:
Sr 0.0000 0.0000 0.0000  8 Mn 3.28-3.36
Mn 0.0000 0.0000 0.1986  3 Rh 2.58, 3 Mn 2.73
Rh 0.0000 0.0000 0.5000  6 Mn 2.58

- D(E_F) (states/eV per cell) = 8.9
- crystal system = trigonal
- energy of formation from the pure elements (meV per atom) = 158
- electronic total energy (eV for the cell shown) = -80.2

4.
Here is a geometry-optimized Sr2MnRh structure from the Alexandria database. Energies are from PBE.

Unit cell a=5.2251 b=5.2251 c=7.1808 alpha=90.00 beta=90.00 gamma=90.00
Closest atoms and distances in Å follow each position.
Space group I-4m2 (No. 119)
One atom of each set of equivalent atoms:
Sr 0.0000 0.0000 0.0000  4 Mn 3.17, 4 Sr 3.17
Sr 0.0000 0.5000 0.2500  4 Rh 3.17, 4 Sr 3.17
Mn 0.0000 0.5000 0.7500  4 Rh 3.17, 4 Sr 3.17
Rh 0.0000 0.0000 0.5000  4 Mn 3.17, 4 Sr 3.17

- D(E_F) (states/eV per cell) = 6.7
- crystal system = tetragonal
- energy above the lowest structure with this stoichiometry (eV per atom) = 0.359
- energy of formation from the pure elements (meV per atom) = 373
- electronic total energy (eV for the cell shown) = -36.8

5.
Here is a geometry-optimized SrMn2Rh structure from the Alexandria database. Energies are from PBE.

Unit cell a=4.1478 b=4.1478 c=4.5218 alpha=90.00 beta=90.00 gamma=90.00
Closest atoms and distances in Å follow each position.
Space group P4/mmm (No. 123)
One atom of each set of equivalent atoms:
Sr 0.0000 0.0000 0.0000  4 Rh 2.93, 8 Mn 3.07
Mn 0.0000 0.5000 0.5000  4 Mn 2.93, 4 Rh 3.07, 4 Sr 3.07
Rh 0.5000 0.5000 0.0000  4 Sr 2.93, 8 Mn 3.07

- D(E_F) (states/eV per cell) = 2.5
- crystal system = tetragonal
- energy of formation from the pure elements (meV per atom) = 461
- electronic total energy (eV for the cell shown) = -25.5

6.
Here is a geometry-optimized SrMn2Rh structure from the Alexandria database. Energies are from PBE.

Unit cell a=3.3945 b=3.3945 c=7.1227 alpha=90.00 beta=90.00 gamma=90.00
Closest atoms and distances in Å follow each position.
Space group P4mm (No. 99)
One atom of each set of equivalent atoms:
Sr 0.0000 0.0000 0.0000  4 Rh 3.21, 5 Mn 3.29-3.41, 4 Sr 3.39
Mn 0.0000 0.0000 0.5380  4 Rh 2.66, 4 Mn 2.78
Mn 0.5000 0.5000 0.3399  1 Rh 2.56, 4 Mn 2.78
Rh 0.5000 0.5000 0.6998  5 Mn 2.56-2.66

- D(E_F) (states/eV per cell) = 4.6
- crystal system = tetragonal
- energy of formation from the pure elements (meV per atom) = 314
- electronic total energy (eV for the cell shown) = -26.1

7.
Here is a geometry-optimized SrMnRh structure from the Alexandria database. Energies are from PBE.

Unit cell a=7.3472 b=4.1894 c=8.2999 alpha=90.00 beta=90.00 gamma=90.00
Closest atoms and distances in Å follow each position.
Space group Pnma (No. 62)
One atom of each set of equivalent atoms:
Sr 0.0028 0.2500 0.1854  6 Mn 3.14-3.46, 6 Rh 3.18-3.39
Mn 0.1534 0.7500 0.4333  3 Rh 2.31-2.37
Rh 0.1604 0.2500 0.5657  3 Mn 2.31-2.37

- D(E_F) (states/eV per cell) = 10.3
- crystal system = orthorhombic
- energy above the lowest structure with this stoichiometry (eV per atom) = 0.363
- energy of formation from the pure elements (meV per atom) = 259
- electronic total energy (eV for the cell shown) = -69.7

8.
Here is a geometry-optimized SrMnRh structure from the Alexandria database. Energies are from PBE.

Unit cell a=5.0560 b=4.6447 c=6.0475 alpha=90.00 beta=99.42 gamma=90.00
Closest atoms and distances in Å follow each position.
Space group P2_1/m (No. 11)
One atom of each set of equivalent atoms:
Sr 0.2244 0.2500 0.3823  4 Rh 2.96-3.22
Mn 0.3427 0.7500 0.9937  4 Rh 2.58-2.64, 2 Mn 2.81
Rh 0.1368 0.2500 0.8858  4 Mn 2.58-2.64

- D(E_F) (states/eV per cell) = 4.4
- crystal system = monoclinic
- energy above the lowest structure with this stoichiometry (eV per atom) = 0.075
- energy of formation from the pure elements (meV per atom) = -29
- electronic total energy (eV for the cell shown) = -36.6